[1]
# PBE ScAuBr2, relaxed
# formation energy (no corrections)	-837	meV/atom
# energy relative to the lowest polymorph listed for this composition	223	meV per atom
# DOS at the Fermi energy	0.000	states/eV per atom
# E_tot	-16.3	eV per formula unit
data_ScAuBr2
_chemical_formula_sum 'Sc4 Au4 Br8'
_cell_length_a 9.538
_cell_length_b 9.538
_cell_length_c 5.476
_cell_angle_alpha 90.00
_cell_angle_beta 90.00
_cell_angle_gamma 90.00
_symmetry_space_group_name_H-M 'I -4 2 d'
_symmetry_Int_Tables_number 122
_symmetry_space_group_name_Hall 'I -4 2bw'
loop_
_atom_site_label
_atom_site_fract_x
_atom_site_fract_y
_atom_site_fract_z
_atom_site_occupancy
Sc1 0.000 0.000 0.000 1
Au1 0.000 0.000 0.500 1
Br1 0.104 0.750 0.125 1

[2]
# PBE ScAu2Br, relaxed
# formation energy (no corrections)	-390	meV/atom
# energy relative to the lowest polymorph listed for this composition	295	meV per atom
# DOS at the Fermi energy	0.564	states/eV per atom
# E_tot	-16.1	eV per formula unit
data_ScAu2Br
_chemical_formula_sum 'Sc2 Au4 Br2'
_cell_length_a 3.927
_cell_length_b 3.927
_cell_length_c 10.808
_cell_angle_alpha 90.00
_cell_angle_beta 90.00
_cell_angle_gamma 90.00
_symmetry_space_group_name_H-M 'I 4/m m m'
_symmetry_Int_Tables_number 139
_symmetry_space_group_name_Hall '-I 4 2'
loop_
_atom_site_label
_atom_site_fract_x
_atom_site_fract_y
_atom_site_fract_z
_atom_site_occupancy
Sc1 0.000 0.000 0.000 1
Au1 0.000 0.500 0.250 1
Br1 0.000 0.000 0.500 1

[3]
# PBE ScAuBr2, relaxed
# formation energy (no corrections)	-993	meV/atom
# energy relative to the lowest polymorph listed for this composition	66	meV per atom
# DOS at the Fermi energy	0.000	states/eV per atom
# E_tot	-16.9	eV per formula unit
data_ScAuBr2
_chemical_formula_sum 'Sc3 Au3 Br6'
_cell_length_a 3.8946
_cell_length_b 3.8946
_cell_length_c 25.3847
_cell_angle_alpha 90.00
_cell_angle_beta 90.00
_cell_angle_gamma 120.00
_symmetry_space_group_name_H-M 'R 3 m'
_symmetry_Int_Tables_number 160
_symmetry_space_group_name_Hall 'R 3 -2"'
loop_
_atom_site_label
_atom_site_fract_x
_atom_site_fract_y
_atom_site_fract_z
_atom_site_occupancy
Sc1 0.0000 0.0000 0.0000 1
Au1 0.0000 0.0000 0.2729 1
Br1 0.0000 0.0000 0.5379 1
Br2 0.0000 0.0000 0.7329 1

[4]
# PBE ScAu3Br, relaxed
# formation energy (no corrections)	465	meV/atom
# energy relative to the lowest polymorph listed for this composition	0	meV per atom
# DOS at the Fermi energy	1.508	states/eV per atom
# E_tot	-15.5	eV per formula unit
data_ScAu3Br
_chemical_formula_sum 'Sc1 Au3 Br1'
_cell_length_a 5.239
_cell_length_b 5.239
_cell_length_c 5.239
_cell_angle_alpha 90.00
_cell_angle_beta 90.00
_cell_angle_gamma 90.00
_symmetry_space_group_name_H-M 'P m -3 m'
_symmetry_Int_Tables_number 221
_symmetry_space_group_name_Hall '-P 4 2 3'
loop_
_atom_site_label
_atom_site_fract_x
_atom_site_fract_y
_atom_site_fract_z
_atom_site_occupancy
Sc1 0.000 0.000 0.000 1
Au1 0.000 0.000 0.500 1
Br1 0.500 0.500 0.500 1

[5]
# PBE ScAu2Br, relaxed
# formation energy (no corrections)	-579	meV/atom
# energy relative to the lowest polymorph listed for this composition	106	meV per atom
# DOS at the Fermi energy	0.251	states/eV per atom
# E_tot	-16.9	eV per formula unit
data_ScAu2Br
_chemical_formula_sum 'Sc1 Au2 Br1'
_cell_length_a 3.422
_cell_length_b 3.422
_cell_length_c 7.907
_cell_angle_alpha 90.00
_cell_angle_beta 90.00
_cell_angle_gamma 90.00
_symmetry_space_group_name_H-M 'P 4 m m'
_symmetry_Int_Tables_number 99
loop_
_symmetry_equiv_pos_as_xyz
'x,y,z'
'-y,x,z'
'-x,-y,z'
'y,-x,z'
'-x,y,z'
'y,x,z'
'x,-y,z'
'-y,-x,z'
loop_
_atom_site_label
_atom_site_fract_x
_atom_site_fract_y
_atom_site_fract_z
_atom_site_occupancy
Sc1 0.000 0.000 0.000 1
Au1 0.000 0.000 0.382 1
Au2 0.500 0.500 0.190 1
Br1 0.500 0.500 0.769 1

[6]
# PBE ScAuBr3, relaxed
# formation energy (no corrections)	-703	meV/atom
# energy relative to the lowest polymorph listed for this composition	0	meV per atom
# DOS at the Fermi energy	0.880	states/eV per atom
# E_tot	-18.1	eV per formula unit
data_ScAuBr3
_chemical_formula_sum 'Sc1 Au1 Br3'
_cell_length_a 5.282
_cell_length_b 5.282
_cell_length_c 5.282
_cell_angle_alpha 90.00
_cell_angle_beta 90.00
_cell_angle_gamma 90.00
_symmetry_space_group_name_H-M 'P m -3 m'
_symmetry_Int_Tables_number 221
_symmetry_space_group_name_Hall '-P 4 2 3'
loop_
_atom_site_label
_atom_site_fract_x
_atom_site_fract_y
_atom_site_fract_z
_atom_site_occupancy
Sc1 0.000 0.000 0.000 1
Au1 0.500 0.500 0.500 1
Br1 0.000 0.000 0.500 1

[7]
# PBE Sc3AuBr, relaxed
# formation energy (no corrections)	-141	meV/atom
# energy relative to the lowest polymorph listed for this composition	0	meV per atom
# DOS at the Fermi energy	0.633	states/eV per atom
# E_tot	-24.7	eV per formula unit
data_Sc3AuBr
_chemical_formula_sum 'Sc3 Au1 Br1'
_cell_length_a 4.893
_cell_length_b 4.893
_cell_length_c 4.893
_cell_angle_alpha 90.00
_cell_angle_beta 90.00
_cell_angle_gamma 90.00
_symmetry_space_group_name_H-M 'P m -3 m'
_symmetry_Int_Tables_number 221
_symmetry_space_group_name_Hall '-P 4 2 3'
loop_
_atom_site_label
_atom_site_fract_x
_atom_site_fract_y
_atom_site_fract_z
_atom_site_occupancy
Sc1 0.000 0.000 0.500 1
Au1 0.500 0.500 0.500 1
Br1 0.000 0.000 0.000 1

[8]
# PBE ScAu2Br, relaxed
# formation energy (no corrections)	-395	meV/atom
# energy relative to the lowest polymorph listed for this composition	290	meV per atom
# DOS at the Fermi energy	0.271	states/eV per atom
# E_tot	-16.1	eV per formula unit
data_ScAu2Br
_chemical_formula_sum 'Sc2 Au4 Br2'
_cell_length_a 5.334
_cell_length_b 8.855
_cell_length_c 3.742
_cell_angle_alpha 90.00
_cell_angle_beta 90.00
_cell_angle_gamma 90.00
_symmetry_space_group_name_H-M 'C m m m'
_symmetry_Int_Tables_number 65
_symmetry_space_group_name_Hall '-C 2 2'
loop_
_atom_site_label
_atom_site_fract_x
_atom_site_fract_y
_atom_site_fract_z
_atom_site_occupancy
Sc1 0.000 0.000 0.000 1
Au1 0.250 0.250 0.500 1
Br1 0.000 0.500 0.000 1

[9]
# PBE ScAuBr2, relaxed
# formation energy (no corrections)	-1023	meV/atom
# energy relative to the lowest polymorph listed for this composition	37	meV per atom
# E_tot	-17.0	eV per formula unit
data_ScAuBr2
_chemical_formula_sum 'Sc1 Au1 Br2'
_cell_length_a 3.948
_cell_length_b 3.593
_cell_length_c 8.338
_cell_angle_alpha 90.00
_cell_angle_beta 103.37
_cell_angle_gamma 90.00
_symmetry_space_group_name_H-M 'P 1 m 1'
_symmetry_Int_Tables_number 6
loop_
_symmetry_equiv_pos_as_xyz
'x,y,z'
'x,-y,z'
loop_
_atom_site_label
_atom_site_fract_x
_atom_site_fract_y
_atom_site_fract_z
_atom_site_occupancy
Sc1 0.000 0.000 0.000 1
Au1 0.432 0.500 0.860 1
Br1 0.119 0.500 0.243 1
Br2 0.841 0.000 0.673 1

[10]
# PBE ScAuBr2, relaxed
# formation energy (no corrections)	-156	meV/atom
# energy relative to the lowest polymorph listed for this composition	903	meV per atom
# DOS at the Fermi energy	0.811	states/eV per atom
# E_tot	-13.6	eV per formula unit
data_ScAuBr2
_chemical_formula_sum 'Sc3 Au3 Br6'
_cell_length_a 3.8674
_cell_length_b 3.8674
_cell_length_c 26.3181
_cell_angle_alpha 90.00
_cell_angle_beta 90.00
_cell_angle_gamma 120.00
_symmetry_space_group_name_H-M 'R -3 m'
_symmetry_Int_Tables_number 166
_symmetry_space_group_name_Hall '-R 3 2"'
loop_
_atom_site_label
_atom_site_fract_x
_atom_site_fract_y
_atom_site_fract_z
_atom_site_occupancy
Sc1 0.0000 0.0000 0.0000 1
Au1 0.0000 0.0000 0.5000 1
Br1 0.0000 0.0000 0.0980 1

[11]
# PBE Sc4AuBr, relaxed
# formation energy (no corrections)	230	meV/atom
# DOS at the Fermi energy	1.415	states/eV per atom
# E_tot	-28.9	eV per formula unit
data_Sc4AuBr
_chemical_formula_sum 'Sc16 Au4 Br4'
_cell_length_a 8.294
_cell_length_b 8.294
_cell_length_c 8.294
_cell_angle_alpha 90.00
_cell_angle_beta 90.00
_cell_angle_gamma 90.00
_symmetry_space_group_name_H-M 'F -4 3 m'
_symmetry_Int_Tables_number 216
_symmetry_space_group_name_Hall 'F -4 2 3'
loop_
_atom_site_label
_atom_site_fract_x
_atom_site_fract_y
_atom_site_fract_z
_atom_site_occupancy
Sc1 0.124 0.124 0.124 1
Au1 0.250 0.250 0.750 1
Br1 0.000 0.000 0.500 1

[12]
# PBE ScAu2Br, relaxed
# formation energy (no corrections)	-685	meV/atom
# energy relative to the lowest polymorph listed for this composition	0	meV per atom
# DOS at the Fermi energy	0.061	states/eV per atom
# E_tot	-17.3	eV per formula unit
data_ScAu2Br
_chemical_formula_sum 'Sc1 Au2 Br1'
_cell_length_a 3.705
_cell_length_b 3.442
_cell_length_c 7.883
_cell_angle_alpha 90.00
_cell_angle_beta 98.74
_cell_angle_gamma 90.00
_symmetry_space_group_name_H-M 'P 1 m 1'
_symmetry_Int_Tables_number 6
loop_
_symmetry_equiv_pos_as_xyz
'x,y,z'
'x,-y,z'
loop_
_atom_site_label
_atom_site_fract_x
_atom_site_fract_y
_atom_site_fract_z
_atom_site_occupancy
Sc1 0.000 0.000 0.000 1
Au1 0.445 0.500 0.828 1
Au2 0.885 0.000 0.642 1
Br1 0.089 0.500 0.260 1

[13]
# PBE ScAuBr2, relaxed
# formation energy (no corrections)	-1060	meV/atom
# energy relative to the lowest polymorph listed for this composition	0	meV per atom
# E_tot	-17.2	eV per formula unit
data_ScAuBr2
_chemical_formula_sum 'Sc2 Au2 Br4'
_cell_length_a 12.237
_cell_length_b 3.475
_cell_length_c 7.464
_cell_angle_alpha 90.00
_cell_angle_beta 122.92
_cell_angle_gamma 90.00
_symmetry_space_group_name_H-M 'C 1 m 1'
_symmetry_Int_Tables_number 8
loop_
_symmetry_equiv_pos_as_xyz
'x,y,z'
'x,-y,z'
'x+1/2,y+1/2,z'
'x+1/2,-y+1/2,z'
loop_
_atom_site_label
_atom_site_fract_x
_atom_site_fract_y
_atom_site_fract_z
_atom_site_occupancy
Sc1 0.000 0.000 0.000 1
Au1 0.195 0.500 0.089 1
Br1 0.353 0.000 0.688 1
Br2 0.469 0.000 0.247 1

[14]
# PBE ScAuBr2, relaxed
# formation energy (no corrections)	-812	meV/atom
# energy relative to the lowest polymorph listed for this composition	248	meV per atom
# DOS at the Fermi energy	0.010	states/eV per atom
# E_tot	-16.2	eV per formula unit
data_ScAuBr2
_chemical_formula_sum 'Sc2 Au2 Br4'
_cell_length_a 3.453
_cell_length_b 5.207
_cell_length_c 12.778
_cell_angle_alpha 90.00
_cell_angle_beta 90.00
_cell_angle_gamma 90.00
_symmetry_space_group_name_H-M 'I m m 2'
_symmetry_Int_Tables_number 44
loop_
_symmetry_equiv_pos_as_xyz
'x,y,z'
'-x,-y,z'
'-x,y,z'
'x,-y,z'
'x+1/2,y+1/2,z+1/2'
'-x+1/2,-y+1/2,z+1/2'
'-x+1/2,y+1/2,z+1/2'
'x+1/2,-y+1/2,z+1/2'
loop_
_atom_site_label
_atom_site_fract_x
_atom_site_fract_y
_atom_site_fract_z
_atom_site_occupancy
Sc1 0.000 0.000 0.000 1
Au1 0.000 0.500 0.664 1
Br1 0.000 0.000 0.513 1
Br2 0.000 0.500 0.338 1

[15]
# PBE ScAuBr2, relaxed
# formation energy (no corrections)	-659	meV/atom
# energy relative to the lowest polymorph listed for this composition	400	meV per atom
# DOS at the Fermi energy	0.405	states/eV per atom
# E_tot	-15.6	eV per formula unit
data_ScAuBr2
_chemical_formula_sum 'Sc1 Au1 Br2'
_cell_length_a 3.262
_cell_length_b 3.262
_cell_length_c 10.084
_cell_angle_alpha 90.00
_cell_angle_beta 90.00
_cell_angle_gamma 90.00
_symmetry_space_group_name_H-M 'P 4/m m m'
_symmetry_Int_Tables_number 123
_symmetry_space_group_name_Hall '-P 4 2'
loop_
_atom_site_label
_atom_site_fract_x
_atom_site_fract_y
_atom_site_fract_z
_atom_site_occupancy
Sc1 0.000 0.000 0.000 1
Au1 0.000 0.000 0.500 1
Br1 0.500 0.500 0.164 1

[16]
# PBE ScAuBr3, relaxed
# formation energy (no corrections)	-24	meV/atom
# energy relative to the lowest polymorph listed for this composition	679	meV per atom
# DOS at the Fermi energy	3.047	states/eV per atom
# E_tot	-14.7	eV per formula unit
data_ScAuBr3
_chemical_formula_sum 'Sc1 Au1 Br3'
_cell_length_a 5.351
_cell_length_b 5.351
_cell_length_c 5.351
_cell_angle_alpha 90.00
_cell_angle_beta 90.00
_cell_angle_gamma 90.00
_symmetry_space_group_name_H-M 'P m -3 m'
_symmetry_Int_Tables_number 221
_symmetry_space_group_name_Hall '-P 4 2 3'
loop_
_atom_site_label
_atom_site_fract_x
_atom_site_fract_y
_atom_site_fract_z
_atom_site_occupancy
Sc1 0.000 0.000 0.000 1
Au1 0.500 0.500 0.500 1
Br1 0.000 0.500 0.500 1

[17]
# PBE ScAuBr2, relaxed
# formation energy (no corrections)	-958	meV/atom
# energy relative to the lowest polymorph listed for this composition	102	meV per atom
# DOS at the Fermi energy	0.032	states/eV per atom
# E_tot	-16.8	eV per formula unit
data_ScAuBr2
_chemical_formula_sum 'Sc2 Au2 Br4'
_cell_length_a 5.466
_cell_length_b 13.796
_cell_length_c 3.763
_cell_angle_alpha 90.00
_cell_angle_beta 90.00
_cell_angle_gamma 90.00
_symmetry_space_group_name_H-M 'C m m m'
_symmetry_Int_Tables_number 65
_symmetry_space_group_name_Hall '-C 2 2'
loop_
_atom_site_label
_atom_site_fract_x
_atom_site_fract_y
_atom_site_fract_z
_atom_site_occupancy
Sc1 0.000 0.000 0.000 1
Au1 0.000 0.500 0.000 1
Br1 0.000 0.135 0.500 1

[18]
# PBE ScAuBr2, relaxed
# formation energy (no corrections)	-371	meV/atom
# energy relative to the lowest polymorph listed for this composition	689	meV per atom
# DOS at the Fermi energy	0.737	states/eV per atom
# E_tot	-14.4	eV per formula unit
data_ScAuBr2
_chemical_formula_sum 'Sc1 Au1 Br2'
_cell_length_a 3.880
_cell_length_b 4.192
_cell_length_c 5.573
_cell_angle_alpha 90.00
_cell_angle_beta 90.00
_cell_angle_gamma 90.00
_symmetry_space_group_name_H-M 'P m m m'
_symmetry_Int_Tables_number 47
loop_
_symmetry_equiv_pos_as_xyz
'x,y,z'
'-x,-y,-z'
'-x,-y,z'
'x,y,-z'
'x,-y,-z'
'-x,y,z'
'-x,y,-z'
'x,-y,z'
loop_
_atom_site_label
_atom_site_fract_x
_atom_site_fract_y
_atom_site_fract_z
_atom_site_occupancy
Sc1 0.000 0.000 0.000 1
Au1 0.500 0.000 0.500 1
Br1 0.000 0.500 0.500 1
Br2 0.500 0.500 0.000 1

[19]
# PBE ScAu2Br, relaxed
# formation energy (no corrections)	-374	meV/atom
# energy relative to the lowest polymorph listed for this composition	311	meV per atom
# DOS at the Fermi energy	0.691	states/eV per atom
# E_tot	-16.1	eV per formula unit
data_ScAu2Br
_chemical_formula_sum 'Sc1 Au2 Br1'
_cell_length_a 3.924
_cell_length_b 3.924
_cell_length_c 5.457
_cell_angle_alpha 90.00
_cell_angle_beta 90.00
_cell_angle_gamma 90.00
_symmetry_space_group_name_H-M 'P 4/m m m'
_symmetry_Int_Tables_number 123
_symmetry_space_group_name_Hall '-P 4 2'
loop_
_atom_site_label
_atom_site_fract_x
_atom_site_fract_y
_atom_site_fract_z
_atom_site_occupancy
Sc1 0.000 0.000 0.000 1
Au1 0.000 0.500 0.500 1
Br1 0.500 0.500 0.000 1

[20]
# PBE ScAu2Br, relaxed
# formation energy (no corrections)	-218	meV/atom
# energy relative to the lowest polymorph listed for this composition	467	meV per atom
# DOS at the Fermi energy	0.056	states/eV per atom
# E_tot	-15.4	eV per formula unit
data_ScAu2Br
_chemical_formula_sum 'Sc4 Au8 Br4'
_cell_length_a 6.978
_cell_length_b 6.978
_cell_length_c 6.978
_cell_angle_alpha 90.00
_cell_angle_beta 90.00
_cell_angle_gamma 90.00
_symmetry_space_group_name_H-M 'F m -3 m'
_symmetry_Int_Tables_number 225
_symmetry_space_group_name_Hall '-F 4 2 3'
loop_
_atom_site_label
_atom_site_fract_x
_atom_site_fract_y
_atom_site_fract_z
_atom_site_occupancy
Sc1 0.000 0.000 0.000 1
Au1 0.250 0.250 0.250 1
Br1 0.000 0.000 0.500 1